# 1
# SiPSN2 | the Alexandria database | GGA-PBEsol | relaxed
# VASP energy   -5.97 eV/atom
# Formation energy without anion corrections   0.620 eV/atom
data_SiPSN2
_chemical_formula_sum 'Si1 P1 S1 N2'
_cell_length_a 3.4344
_cell_length_b 3.4344
_cell_length_c 4.6195
_cell_angle_alpha 90.00
_cell_angle_beta 90.00
_cell_angle_gamma 90.00
_space_group_name_H-M_alt 'P 4/m m m'
_space_group_IT_number 123
_space_group_name_Hall '-P 4 2'
loop_
_atom_site_label
_atom_site_fract_x
_atom_site_fract_y
_atom_site_fract_z
_atom_site_occupancy
Si1 0.0000 0.0000 0.0000 1
P1 0.5000 0.5000 0.5000 1
S1 0.5000 0.5000 0.0000 1
N1 0.0000 0.5000 0.5000 1



# 2
# SnPS2N | the Alexandria database | GGA-PBEsol | relaxed
# VASP energy   -3.67 eV/atom
# Formation energy without anion corrections   1.797 eV/atom
data_SnPS2N
_chemical_formula_sum 'Sn1 P1 S2 N1'
_cell_length_a 5.0053
_cell_length_b 5.0053
_cell_length_c 5.1016
_cell_angle_alpha 90.00
_cell_angle_beta 90.00
_cell_angle_gamma 90.00
_space_group_name_H-M_alt 'P 4/m m m'
_space_group_IT_number 123
_space_group_name_Hall '-P 4 2'
loop_
_atom_site_label
_atom_site_fract_x
_atom_site_fract_y
_atom_site_fract_z
_atom_site_occupancy
Sn1 0.0000 0.0000 0.0000 1
P1 0.0000 0.0000 0.5000 1
S1 0.0000 0.5000 0.0000 1
N1 0.5000 0.5000 0.5000 1



# 3
# TcPS2N | the Alexandria database | GGA-PBEsol | relaxed
# VASP energy   -6.36 eV/atom
# Formation energy without anion corrections   0.508 eV/atom
data_TcPS2N
_chemical_formula_sum 'Tc1 P1 S2 N1'
_cell_length_a 4.6734
_cell_length_b 4.6734
_cell_length_c 3.6350
_cell_angle_alpha 90.00
_cell_angle_beta 90.00
_cell_angle_gamma 90.00
_space_group_name_H-M_alt 'P 4/m m m'
_space_group_IT_number 123
_space_group_name_Hall '-P 4 2'
loop_
_atom_site_label
_atom_site_fract_x
_atom_site_fract_y
_atom_site_fract_z
_atom_site_occupancy
Tc1 0.0000 0.0000 0.0000 1
P1 0.5000 0.5000 0.5000 1
S1 0.0000 0.5000 0.0000 1
N1 0.0000 0.0000 0.5000 1



# 4
# TeP2SN | the Alexandria database | GGA-PBEsol | relaxed
# VASP energy   -3.45 eV/atom
# Formation energy without anion corrections   2.153 eV/atom
data_TeP2SN
_chemical_formula_sum 'Te1 P2 S1 N1'
_cell_length_a 5.1645
_cell_length_b 5.1645
_cell_length_c 5.0087
_cell_angle_alpha 90.00
_cell_angle_beta 90.00
_cell_angle_gamma 90.00
_space_group_name_H-M_alt 'P 4/m m m'
_space_group_IT_number 123
_space_group_name_Hall '-P 4 2'
loop_
_atom_site_label
_atom_site_fract_x
_atom_site_fract_y
_atom_site_fract_z
_atom_site_occupancy
Te1 0.0000 0.0000 0.0000 1
P1 0.0000 0.5000 0.0000 1
S1 0.0000 0.0000 0.5000 1
N1 0.5000 0.5000 0.5000 1



# 5
# TeP2SN | the Alexandria database | GGA-PBEsol | relaxed
# VASP energy   -4.78 eV/atom
# Formation energy without anion corrections   0.827 eV/atom
data_TeP2SN
_chemical_formula_sum 'Te1 P2 S1 N1'
_cell_length_a 4.1922
_cell_length_b 4.1922
_cell_length_c 4.2282
_cell_angle_alpha 90.00
_cell_angle_beta 90.00
_cell_angle_gamma 90.00
_space_group_name_H-M_alt 'P 4/m m m'
_space_group_IT_number 123
_space_group_name_Hall '-P 4 2'
loop_
_atom_site_label
_atom_site_fract_x
_atom_site_fract_y
_atom_site_fract_z
_atom_site_occupancy
Te1 0.0000 0.0000 0.0000 1
P1 0.0000 0.5000 0.5000 1
S1 0.5000 0.5000 0.0000 1
N1 0.5000 0.5000 0.5000 1



# 6
# TiP2SN | the Alexandria database | GGA-PBEsol | relaxed
# VASP energy   -6.24 eV/atom
# Formation energy without anion corrections   0.325 eV/atom
data_TiP2SN
_chemical_formula_sum 'Ti1 P2 S1 N1'
_cell_length_a 3.8459
_cell_length_b 3.8459
_cell_length_c 4.3282
_cell_angle_alpha 90.00
_cell_angle_beta 90.00
_cell_angle_gamma 90.00
_space_group_name_H-M_alt 'P 4/m m m'
_space_group_IT_number 123
_space_group_name_Hall '-P 4 2'
loop_
_atom_site_label
_atom_site_fract_x
_atom_site_fract_y
_atom_site_fract_z
_atom_site_occupancy
Ti1 0.0000 0.0000 0.0000 1
P1 0.0000 0.5000 0.5000 1
S1 0.5000 0.5000 0.0000 1
N1 0.5000 0.5000 0.5000 1



# 7
# TiPS2N | the Alexandria database | GGA-PBEsol | relaxed
# VASP energy   -5.36 eV/atom
# Formation energy without anion corrections   0.917 eV/atom
data_TiPS2N
_chemical_formula_sum 'Ti1 P1 S2 N1'
_cell_length_a 4.5772
_cell_length_b 4.5772
_cell_length_c 4.7558
_cell_angle_alpha 90.00
_cell_angle_beta 90.00
_cell_angle_gamma 90.00
_space_group_name_H-M_alt 'P 4/m m m'
_space_group_IT_number 123
_space_group_name_Hall '-P 4 2'
loop_
_atom_site_label
_atom_site_fract_x
_atom_site_fract_y
_atom_site_fract_z
_atom_site_occupancy
Ti1 0.0000 0.0000 0.0000 1
P1 0.0000 0.0000 0.5000 1
S1 0.0000 0.5000 0.0000 1
N1 0.5000 0.5000 0.5000 1



# 8
# TiPS2N | the Alexandria database | GGA-PBEsol | relaxed
# VASP energy   -6.23 eV/atom
# Formation energy without anion corrections   0.053 eV/atom
data_TiPS2N
_chemical_formula_sum 'Ti1 P1 S2 N1'
_cell_length_a 4.5930
_cell_length_b 4.5930
_cell_length_c 3.2532
_cell_angle_alpha 90.00
_cell_angle_beta 90.00
_cell_angle_gamma 90.00
_space_group_name_H-M_alt 'P 4/m m m'
_space_group_IT_number 123
_space_group_name_Hall '-P 4 2'
loop_
_atom_site_label
_atom_site_fract_x
_atom_site_fract_y
_atom_site_fract_z
_atom_site_occupancy
Ti1 0.0000 0.0000 0.0000 1
P1 0.5000 0.5000 0.5000 1
S1 0.0000 0.5000 0.5000 1
N1 0.5000 0.5000 0.0000 1